{
  "formula": "YNi3Se2ClO8",
  "functional": "PBE with a Hubbard U",
  "state": "relaxed",
  "lattice": [[6.3931, 0.0000, 0.0000], [0.0000, 7.1669, 0.0000], [0.0000, 0.0000, 9.5901]],
  "species": ["Y", "Y", "Ni", "Ni", "Ni", "Ni", "Ni", "Ni", "Se", "Se", "Se", "Se", "Cl", "Cl", "O", "O", "O", "O", "O", "O", "O", "O", "O", "O", "O", "O", "O", "O", "O", "O"],
  "fractional_positions": [[0.0000, 0.2615, 0.0000], [0.5000, 0.7385, 0.5000], [0.2500, 0.0000, 0.7500], [0.2500, 0.0000, 0.2500], [0.7500, 0.0000, 0.7500], [0.5000, 0.2041, 0.5000], [0.0000, 0.7959, 0.0000], [0.7500, 0.0000, 0.2500], [0.5000, 0.4092, 0.8101], [0.0000, 0.5908, 0.6899], [0.5000, 0.4092, 0.1899], [0.0000, 0.5908, 0.3101], [0.0000, 0.1329, 0.5000], [0.5000, 0.8671, 0.0000], [0.0000, 0.0003, 0.8634], [0.0000, 0.5739, 0.8698], [0.5000, 0.4261, 0.3698], [0.2883, 0.2623, 0.8376], [0.2117, 0.7377, 0.3376], [0.7883, 0.7377, 0.3376], [0.5000, 0.9997, 0.6366], [0.7117, 0.2623, 0.8376], [0.7117, 0.2623, 0.1624], [0.7883, 0.7377, 0.6624], [0.0000, 0.0003, 0.1366], [0.5000, 0.9997, 0.3634], [0.2117, 0.7377, 0.6624], [0.2883, 0.2623, 0.1624], [0.5000, 0.4261, 0.6302], [0.0000, 0.5739, 0.1302]],
  "n_ef_per_ev_atom": 0.000,
  "final_energy_ev_per_atom": -5.538,
  "spacegroup": "Pmmn (59)"
}